Entry 1:
The following is a DFT calculation (GGA-PBE) of crystalline RbReNi at its relaxed geometry. Values from VASP.

Properties
The calculation puts the energy at -5.558 eV per atom. The calculated formation energy is 0.84 eV per atom. The symmetry is No. 1. Its total magnetic moment is 0.00 μB/f.u. The crystal system is triclinic. For the density of states at the Fermi level, the calculation gives 3.86 states/eV per cell.

```
&SYSTEM
  ibrav = 0, nat = 6, ntyp = 3
/
ATOMIC_SPECIES
Re 186.21 Re.upf
Ni 58.69 Ni.upf
Rb 85.47 Rb.upf
CELL_PARAMETERS angstrom
7.271 -0.005 -0.035
1.411 6.145 -0.041
6.324 -0.889 3.458
ATOMIC_POSITIONS angstrom
Re 7.980 1.144 2.236
Re 9.135 2.815 0.985
Ni 7.443 3.563 2.703
Ni 8.402 5.260 1.407
Rb 11.954 1.089 3.280
Rb 4.534 5.312 0.395
```

---

Entry 2:
The following is a DFT calculation (GGA-PBE) of crystalline Nd4Mg5Hg2 at its relaxed geometry. Values from VASP.

Properties
The calculation puts the energy at -2.686 eV per atom. The calculated formation energy is -0.17 eV per atom. The symmetry is No. 10. Its total magnetic moment is 0.00 μB/f.u. The crystal system is monoclinic. For the density of states at the Fermi level, the calculation gives 10.29 states/eV per cell.

```
&SYSTEM
  ibrav = 0, nat = 11, ntyp = 3
/
ATOMIC_SPECIES
Mg 24.30 Mg.upf
Hg 200.59 Hg.upf
Nd 144.24 Nd.upf
CELL_PARAMETERS angstrom
3.539 0.000 0.000
0.000 8.159 0.041
0.000 -0.737 10.711
ATOMIC_POSITIONS angstrom
Mg 0.000 4.079 0.021
Mg 0.000 3.038 7.585
Mg 0.000 5.895 8.971
Mg 0.000 4.384 3.167
Mg 0.000 1.527 1.782
Hg 0.000 7.405 3.880
Hg 0.000 0.017 6.873
Nd 1.770 1.840 4.807
Nd 1.770 6.786 1.302
Nd 1.770 0.636 9.451
Nd 1.770 5.581 5.945
```

---

Entry 3:
The following is a DFT calculation (GGA-PBE) of crystalline K2InAgCl4 at its relaxed geometry. Values from VASP.

Properties
The calculation puts the energy at -3.150 eV per atom. The raw formation energy is -10.03 eV/f.u. The symmetry is No. 74. Its total magnetic moment is 0.00 μB/f.u. The crystal system is orthorhombic. For the density of states at the Fermi level, the calculation gives 0.00 states/eV per cell.

```
&SYSTEM
  ibrav = 0, nat = 16, ntyp = 4
/
ATOMIC_SPECIES
K 39.10 K.upf
Ag 107.87 Ag.upf
Cl 35.45 Cl.upf
In 114.82 In.upf
CELL_PARAMETERS angstrom
8.795 0.214 0.052
0.207 8.795 0.052
-4.395 -4.398 6.315
ATOMIC_POSITIONS angstrom
K 4.397 0.107 0.026
K 4.501 4.504 0.052
K 2.200 -2.092 3.183
K -2.198 -2.199 3.157
Ag 4.399 -4.185 6.366
Ag 2.303 2.305 3.209
Cl 0.513 4.142 3.245
Cl 6.702 6.719 0.140
Cl 2.561 -2.396 6.330
Cl -2.095 -2.109 6.278
Cl 2.046 7.006 0.088
Cl 4.591 4.607 3.172
Cl 4.094 0.468 3.173
Cl 0.016 0.003 3.246
In 6.701 2.412 3.235
In 0.104 4.397 0.026
```

---

Entry 4:
The following is a DFT calculation (GGA-PBE) of crystalline ZrNb3Ag at its relaxed geometry. Values from VASP.

Properties
The calculation puts the energy at -6.656 eV per atom. The calculated formation energy is 1.67 eV per atom. The symmetry is No. 221. Its total magnetic moment is 0.00 μB/f.u. The crystal system is cubic. For the density of states at the Fermi level, the calculation gives 5.81 states/eV per cell.

```
&SYSTEM
  ibrav = 0, nat = 5, ntyp = 3
/
ATOMIC_SPECIES
Ag 107.87 Ag.upf
Zr 91.22 Zr.upf
Nb 92.91 Nb.upf
CELL_PARAMETERS angstrom
4.905 0.000 0.000
0.000 4.905 0.000
0.000 0.000 4.905
ATOMIC_POSITIONS angstrom
Ag 2.452 2.452 2.452
Zr 0.000 0.000 0.000
Nb 0.000 2.452 0.000
Nb 0.000 0.000 2.452
Nb 2.452 0.000 0.000
```

---

Entry 5:
The following is a DFT calculation (GGA-PBE) of crystalline NiAuSe2Br at its relaxed geometry. Values from VASP.

Properties
The calculation puts the energy at -3.064 eV per atom. The raw formation energy is 2.38 eV/f.u. The symmetry is No. 123. Its total magnetic moment is 0.00 μB/f.u. The crystal system is tetragonal. For the density of states at the Fermi level, the calculation gives 7.45 states/eV per cell.

```
&SYSTEM
  ibrav = 0, nat = 5, ntyp = 4
/
ATOMIC_SPECIES
Se 78.96 Se.upf
Au 196.97 Au.upf
Br 79.90 Br.upf
Ni 58.69 Ni.upf
CELL_PARAMETERS angstrom
4.731 0.000 0.000
0.000 4.731 0.000
0.000 0.000 4.888
ATOMIC_POSITIONS angstrom
Se 0.000 2.366 0.000
Se 2.366 0.000 0.000
Au 2.366 2.366 2.444
Br 0.000 0.000 2.444
Ni 0.000 0.000 0.000
```

---

Entry 6:
The following is a DFT calculation (GGA-PBE) of crystalline Ce2Zn3Ge at its relaxed geometry. Values from VASP.

Properties
The calculation puts the energy at -3.805 eV per atom. The calculated formation energy is -0.42 eV per atom. The symmetry is No. 69. Its total magnetic moment is 2.05 μB/f.u. The crystal system is orthorhombic. For the density of states at the Fermi level, the calculation gives 21.29 states/eV per cell.

```
&SYSTEM
  ibrav = 0, nat = 12, ntyp = 3
/
ATOMIC_SPECIES
Ce 140.12 Ce.upf
Zn 65.41 Zn.upf
Ge 72.64 Ge.upf
CELL_PARAMETERS angstrom
-0.755 5.717 -0.607
-5.445 -1.908 -0.578
2.053 -1.232 8.234
ATOMIC_POSITIONS angstrom
Ce -3.246 -0.617 3.532
Ce -4.679 2.875 -0.894
Ce -1.521 0.934 -0.291
Ce -0.901 3.195 3.517
Zn -3.799 2.354 4.511
Zn -2.103 3.919 0.663
Zn -0.348 0.224 2.538
Zn -4.443 0.113 0.678
Zn -2.044 -1.341 6.386
Zn 0.297 2.465 6.372
Ge -3.448 2.128 1.947
Ge -0.699 0.450 5.103
```

---

Entry 7:
The following is a DFT calculation (GGA-PBE) of crystalline KPPdS2 at its relaxed geometry. Values from VASP.

Properties
The calculation puts the energy at -3.935 eV per atom. The raw formation energy is 0.28 eV/f.u. The symmetry is No. 123. Its total magnetic moment is 0.00 μB/f.u. The crystal system is tetragonal. For the density of states at the Fermi level, the calculation gives 4.28 states/eV per cell.

```
&SYSTEM
  ibrav = 0, nat = 5, ntyp = 4
/
ATOMIC_SPECIES
K 39.10 K.upf
P 30.97 P.upf
S 32.06 S.upf
Pd 106.42 Pd.upf
CELL_PARAMETERS angstrom
5.078 0.000 0.000
0.000 5.078 0.000
0.000 0.000 4.475
ATOMIC_POSITIONS angstrom
K 2.539 2.539 2.238
P 0.000 0.000 2.238
S 0.000 2.539 0.000
S 2.539 0.000 0.000
Pd 0.000 0.000 0.000
```

---

Entry 8:
The following is a DFT calculation (GGA-PBE) of crystalline Cu2Pb2I at its relaxed geometry. Values from VASP.

Properties
The calculation puts the energy at -3.200 eV per atom. The raw formation energy is 1.16 eV/f.u. The symmetry is No. 127. Its total magnetic moment is 0.00 μB/f.u. The crystal system is tetragonal. For the density of states at the Fermi level, the calculation gives 4.09 states/eV per cell.

```
&SYSTEM
  ibrav = 0, nat = 10, ntyp = 3
/
ATOMIC_SPECIES
I 126.90 I.upf
Cu 63.55 Cu.upf
Pb 207.20 Pb.upf
CELL_PARAMETERS angstrom
-4.080 -5.808 -3.530
-1.592 -3.186 7.082
-3.276 2.158 0.235
ATOMIC_POSITIONS angstrom
I 0.000 0.000 0.000
I -2.836 -4.497 1.776
Cu -2.691 -3.937 -1.357
Cu -2.980 -5.057 4.909
Cu -1.081 -1.894 2.323
Cu -4.590 -7.100 1.230
Pb -5.613 -4.894 -0.435
Pb -5.664 -5.427 3.750
Pb -3.283 -1.409 0.037
Pb -3.334 -1.942 4.222
```

---

Entry 9:
The following is a DFT calculation (GGA-PBE) of crystalline Os2PtPb2 at its relaxed geometry. Values from VASP.

Properties
The calculation puts the energy at -6.199 eV per atom. The calculated formation energy is 0.98 eV per atom. The symmetry is No. 139. Its total magnetic moment is 0.00 μB/f.u. The crystal system is tetragonal. For the density of states at the Fermi level, the calculation gives 3.30 states/eV per cell.

```
&SYSTEM
  ibrav = 0, nat = 5, ntyp = 3
/
ATOMIC_SPECIES
Pb 207.20 Pb.upf
Os 190.23 Os.upf
Pt 195.08 Pt.upf
CELL_PARAMETERS angstrom
-2.702 2.702 3.785
2.702 -2.702 3.785
2.702 2.702 -3.785
ATOMIC_POSITIONS angstrom
Pb 2.702 0.000 1.893
Pb 0.000 2.702 1.893
Os 0.000 0.000 2.646
Os 0.000 0.000 4.924
Pt 0.000 0.000 0.000
```

---

Entry 10:
The following is a DFT calculation (GGA-PBE) of crystalline Ta2PtRh2 at its relaxed geometry. Values from VASP.

Properties
The calculation puts the energy at -9.274 eV per atom. The calculated formation energy is -0.38 eV per atom. The symmetry is No. 59. Its total magnetic moment is 0.00 μB/f.u. The crystal system is orthorhombic. For the density of states at the Fermi level, the calculation gives 8.87 states/eV per cell.

```
&SYSTEM
  ibrav = 0, nat = 10, ntyp = 3
/
ATOMIC_SPECIES
Ta 180.95 Ta.upf
Rh 102.91 Rh.upf
Pt 195.08 Pt.upf
CELL_PARAMETERS angstrom
-1.399 -0.706 2.364
2.408 -3.800 0.290
8.703 6.047 6.958
ATOMIC_POSITIONS angstrom
Ta 7.097 0.892 5.318
Ta 2.616 0.649 4.294
Ta 8.450 4.569 7.218
Ta 1.262 -3.028 2.395
Rh 0.836 -0.587 2.871
Rh 8.877 2.129 6.741
Rh 4.801 -0.569 5.224
Rh 4.911 2.110 4.388
Pt 3.709 -1.461 2.610
Pt 6.004 3.002 7.003
```